[1]
## KMgZn2 (PBE-GGA)

Data for a geometry-optimized KMgZn2 structure.

```
KMgZn2
1.0
9.710 -0.063 -0.037
9.058 3.498 -0.037
9.058 1.658 3.080
K Mg Zn
1 1 2
Cartesian
6.956 1.273 0.751 K
20.869 3.819 2.254 Mg
0.352 0.064 0.038 Zn
13.561 2.482 1.465 Zn
```

Computed properties:
The symmetry is R-3m (166).

[2]
## KMg2Zn (PBE-GGA)

Data for a geometry-optimized KMg2Zn structure.

```
KMg2Zn
1.0
-3.233 -2.411 -9.961
0.179 -1.890 -10.578
-0.942 -5.018 -9.456
K Mg Zn
1 2 1
Cartesian
-3.029 -7.063 -22.736 K
-3.943 -9.197 -29.602 Mg
-0.969 -2.260 -7.274 Mg
-2.048 -4.777 -15.375 Zn
```

Computed properties:
The symmetry is R3m (160).

[3]
## KMg2Zn (PBE-GGA)

Data for a geometry-optimized KMg2Zn structure.

```
KMg2Zn
1.0
-3.750 1.636 -3.509
1.563 -3.803 -3.486
-1.399 -1.345 5.029
K Mg Zn
1 2 1
Cartesian
-3.121 -0.396 -0.989 K
0.000 0.000 0.000 Mg
-0.465 -3.115 -0.977 Mg
-1.093 -1.083 -3.498 Zn
```

Computed properties:
The symmetry is I-4m2 (119).

[4]
## KMg2Zn (PBE-GGA)

Data for a geometry-optimized KMg2Zn structure.

```
KMg2Zn
1.0
-5.842 -1.016 3.370
-3.602 -2.046 5.419
-1.556 4.126 3.777
K Mg Zn
1 2 1
Cartesian
-2.750 0.266 3.141 K
-1.936 3.775 4.016 Mg
-5.120 0.883 6.044 Mg
-8.250 0.798 9.424 Zn
```

Computed properties:
The symmetry is C2/m (12).

[5]
## K2MgZr (PBE-GGA)

Data for a geometry-optimized K2MgZr structure.

```
K2MgZr
1.0
3.308 0.015 0.000
-1.456 2.970 0.000
0.000 0.000 13.550
K Mg Zr
2 1 1
Cartesian
0.000 0.000 0.010 K
0.000 0.000 6.765 K
0.926 1.493 3.388 Mg
0.926 1.493 10.163 Zr
```

Computed properties:
The symmetry is Cmmm (65).

[6]
## K2MgZr (PBE-GGA)

Data for a geometry-optimized K2MgZr structure.

```
K2MgZr
1.0
3.344 0.000 0.000
0.000 6.014 0.000
0.000 0.000 6.710
K Mg Zr
2 1 1
Cartesian
0.000 0.000 0.000 K
1.672 3.007 0.000 K
1.672 0.000 3.355 Mg
0.000 3.007 3.355 Zr
```

Computed properties:
The symmetry is Pmmm (47).

[7]
## KMg2Zr (PBE-GGA)

Data for a geometry-optimized KMg2Zr structure.

```
KMg2Zr
1.0
-1.384 -6.200 -2.960
2.137 -1.704 -6.453
0.906 1.636 6.754
K Mg Zr
1 2 1
Cartesian
1.704 -1.947 -2.127 K
0.734 -7.701 -9.172 Mg
-0.048 -4.284 -0.488 Mg
0.399 -4.191 -4.992 Zr
```

Computed properties:
The symmetry is Imm2 (44). The energy relative to the lowest polymorph listed for this composition is 226 meV per atom.

[8]
## KMg2Zr (PBE-GGA)

Data for a geometry-optimized KMg2Zr structure.

```
KMg2Zr
1.0
6.186 0.007 0.000
2.666 5.582 0.000
-4.426 -2.795 3.297
K Mg Zr
1 2 1
Cartesian
3.093 0.004 1.648 K
0.000 0.000 0.000 Mg
1.333 2.791 1.648 Mg
4.426 2.794 0.000 Zr
```

Computed properties:
The symmetry is I-4m2 (119). The energy relative to the lowest polymorph listed for this composition is 464 meV per atom.

[9]
## KMg2Zr (PBE-GGA)

Data for a geometry-optimized KMg2Zr structure.

```
KMg2Zr
1.0
3.278 0.000 0.000
0.000 3.278 0.000
0.000 0.000 10.640
K Mg Zr
1 2 1
Cartesian
1.639 1.639 8.040 K
0.000 0.000 0.564 Mg
1.639 1.639 2.663 Mg
0.000 0.000 4.692 Zr
```

Computed properties:
The symmetry is P4mm (99). The energy relative to the lowest polymorph listed for this composition is 137 meV per atom.

[10]
## KMg2Zr (PBE-GGA)

Data for a geometry-optimized KMg2Zr structure.

```
KMg2Zr
1.0
3.337 0.000 0.000
0.000 3.337 0.000
0.000 0.000 10.477
K Mg Zr
1 2 1
Cartesian
1.668 1.668 7.858 K
0.000 0.000 0.563 Mg
0.000 0.000 4.676 Mg
1.668 1.668 2.619 Zr
```

Computed properties:
The symmetry is P4/mmm (123). The energy relative to the lowest polymorph listed for this composition is 0 meV per atom.

[11]
## KMg2Zr (PBE-GGA)

Data for a geometry-optimized KMg2Zr structure.

```
KMg2Zr
1.0
0.000 3.835 3.835
3.835 0.000 3.835
3.835 3.835 0.000
K Mg Zr
1 2 1
Cartesian
0.000 0.000 0.000 K
1.918 1.918 1.918 Mg
5.753 5.753 5.753 Mg
3.835 3.835 3.835 Zr
```

Computed properties:
The symmetry is Fm-3m (225). The energy relative to the lowest polymorph listed for this composition is 378 meV per atom.

[12]
## KMg2Zr (PBE-GGA)

Data for a geometry-optimized KMg2Zr structure.

```
KMg2Zr
1.0
-2.579 -0.241 4.879
-3.829 -2.349 3.215
5.032 -5.230 2.845
K Mg Zr
1 2 1
Cartesian
-0.344 -1.955 2.735 K
4.596 -4.872 2.719 Mg
-0.252 -4.268 5.596 Mg
-1.032 -5.865 8.204 Zr
```

Computed properties:
The symmetry is C2/m (12). The energy relative to the lowest polymorph listed for this composition is 201 meV per atom.

[13]
## K2MgZr (PBE-GGA)

Data for a geometry-optimized K2MgZr structure.

```
K2MgZr
1.0
13.709 -0.015 -0.009
13.296 3.341 -0.009
13.296 1.638 2.912
K Mg Zr
2 1 1
Cartesian
40.290 4.963 2.894 K
20.160 2.483 1.448 K
10.075 1.241 0.724 Mg
30.225 3.723 2.171 Zr
```

Computed properties:
The symmetry is R-3m (166).

[14]
## KMg14Zr (PBE-GGA)

Data for a geometry-optimized KMg14Zr structure.

```
KMg14Zr
1.0
-3.641 3.310 4.685
-2.864 -5.858 1.907
6.110 -1.173 5.577
K Mg Zr
1 14 1
Cartesian
-0.100 -3.006 5.737 K
-3.543 2.164 4.337 Mg
-3.155 -2.420 2.948 Mg
1.332 -0.077 4.784 Mg
-1.723 0.509 1.995 Mg
-1.921 -1.351 8.079 Mg
-4.976 -0.765 5.291 Mg
0.025 -2.029 2.548 Mg
3.205 -2.640 5.450 Mg
-3.406 -3.373 6.023 Mg
-0.225 -3.983 8.926 Mg
-1.895 -0.281 5.019 Mg
1.284 -0.891 7.921 Mg
-1.485 -5.122 3.552 Mg
1.694 -5.732 6.455 Mg
-0.488 1.578 7.126 Zr
```

Computed properties:
The symmetry is P4/mmm (123). The energy relative to the lowest polymorph listed for this composition is 0 meV per atom.

[15]
## KMg6Zr (PBE-GGA)

Data for a geometry-optimized KMg6Zr structure.

```
KMg6Zr
1.0
-5.182 3.689 2.040
1.530 -0.307 -6.496
-3.149 -4.121 -0.547
K Mg Zr
1 6 1
Cartesian
-1.575 -2.060 -0.274 K
-2.093 2.135 -4.029 Mg
-0.374 0.543 -1.932 Mg
0.346 0.398 -4.990 Mg
-5.927 1.424 -1.463 Mg
-4.181 -0.193 0.667 Mg
-3.450 -0.340 -2.439 Mg
-2.945 2.357 -0.805 Zr
```

Computed properties:
The symmetry is P-6m2 (187). The energy relative to the lowest polymorph listed for this composition is 0 meV per atom.

[16]
## K2MgZr (PBE-GGA)

Data for a geometry-optimized K2MgZr structure.

```
K2MgZr
1.0
-2.771 -1.193 6.643
6.393 -2.670 -2.289
1.459 2.575 1.071
K Mg Zr
2 1 1
Cartesian
0.000 0.000 0.000 K
1.811 -1.932 2.177 K
-0.656 0.691 3.857 Mg
3.926 -0.048 -0.609 Zr
```

Computed properties:
The symmetry is Cmmm (65).

[17]
## KMgZr (PBE-GGA)

Data for a geometry-optimized KMgZr structure.

```
KMgZr
1.0
-1.963 1.051 9.627
-4.694 -0.065 8.450
1.850 -2.196 1.359
K Mg Zr
1 1 1
Cartesian
-6.654 0.985 18.071 K
-0.859 -1.183 6.682 Mg
-3.951 -0.026 12.759 Zr
```

Computed properties:
The symmetry is Fmm2 (42). The energy relative to the lowest polymorph listed for this composition is 26 meV per atom.

[18]
## K2MgZr (PBE-GGA)

Data for a geometry-optimized K2MgZr structure.

```
K2MgZr
1.0
-1.509 -3.567 6.085
4.889 -3.036 4.348
-1.458 6.138 -3.496
K Mg Zr
2 1 1
Cartesian
0.000 0.000 0.000 K
1.690 -3.302 5.216 K
2.560 -0.100 3.034 Mg
-0.639 -0.365 3.903 Zr
```

Computed properties:
The symmetry is I4/mmm (139).

[19]
## KMg3Zr (PBE-GGA)

Data for a geometry-optimized KMg3Zr structure.

```
KMg3Zr
1.0
-0.853 -3.426 -4.640
0.332 -4.712 3.418
-5.758 0.236 0.884
K Mg Zr
1 3 1
Cartesian
-3.139 -3.951 -0.169 K
0.166 -2.356 1.709 Mg
-2.879 0.118 0.442 Mg
-0.426 -1.713 -2.320 Mg
0.000 0.000 0.000 Zr
```

Computed properties:
The symmetry is Pm-3m (221). The energy relative to the lowest polymorph listed for this composition is 0 meV per atom.

[20]
## KMg2Zr (PBE-GGA)

Data for a geometry-optimized KMg2Zr structure.

```
KMg2Zr
1.0
3.165 -0.019 0.000
-1.367 2.855 0.000
0.000 0.000 12.075
K Mg Zr
1 2 1
Cartesian
0.899 1.418 9.094 K
0.000 0.000 0.357 Mg
0.899 1.418 3.020 Mg
0.000 0.000 5.641 Zr
```

Computed properties:
The symmetry is Cmm2 (35). The energy relative to the lowest polymorph listed for this composition is 137 meV per atom.

[21]
## K2MgZr (PBE-GGA)

Data for a geometry-optimized K2MgZr structure.

```
K2MgZr
1.0
-2.405 -1.565 -1.489
-1.389 -0.586 2.860
-6.811 11.395 -0.971
K Mg Zr
2 1 1
Cartesian
-0.025 0.042 -0.004 K
-3.381 5.656 -0.482 K
-3.600 1.773 0.443 Mg
-7.005 7.471 -0.043 Zr
```

Computed properties:
The symmetry is P4/mmm (123).

[22]
## K2MgZr (PBE-GGA)

Data for a geometry-optimized K2MgZr structure.

```
K2MgZr
1.0
-3.620 -3.415 2.572
-2.515 -5.004 0.112
6.694 -3.609 5.336
K Mg Zr
2 1 1
Cartesian
-5.763 -8.574 2.951 K
0.033 -8.879 5.750 K
-0.206 -5.839 3.679 Mg
0.639 -3.168 2.333 Zr
```

Computed properties:
The symmetry is Cm (8).

[23]
## K2MgZr (PBE-GGA)

Data for a geometry-optimized K2MgZr structure.

```
K2MgZr
1.0
-1.213 -7.470 2.355
5.172 -5.813 -1.508
-2.705 6.664 3.329
K Mg Zr
2 1 1
Cartesian
0.047 -0.156 0.010 K
-1.060 -3.419 3.034 K
1.867 -6.263 0.399 Mg
2.380 -3.421 1.156 Zr
```

Computed properties:
The symmetry is Imm2 (44).

[24]
## KMg3Zr (PBE-GGA)

Data for a geometry-optimized KMg3Zr structure.

```
KMg3Zr
1.0
5.223 0.000 0.000
0.000 5.223 0.000
0.000 0.000 5.223
K Mg Zr
1 3 1
Cartesian
0.000 0.000 0.000 K
0.000 2.612 0.000 Mg
0.000 0.000 2.612 Mg
2.612 0.000 0.000 Mg
2.612 2.612 2.612 Zr
```

Computed properties:
The symmetry is Pm-3m (221). The energy relative to the lowest polymorph listed for this composition is 556 meV per atom.

[25]
## K2MgZr (PBE-GGA)

Data for a geometry-optimized K2MgZr structure.

```
K2MgZr
1.0
-0.200 1.841 -3.015
-2.993 -1.681 -0.828
-9.350 6.829 4.789
K Mg Zr
2 1 1
Cartesian
-9.065 6.459 4.545 K
-3.524 2.650 -0.224 K
-6.479 2.982 2.251 Mg
-8.995 4.299 1.145 Zr
```

Computed properties:
The symmetry is Pm (6).

[26]
## KMg2Zr (PBE-GGA)

Data for a geometry-optimized KMg2Zr structure.

```
KMg2Zr
1.0
5.584 0.000 0.000
0.000 3.095 -0.070
0.000 0.148 6.314
K Mg Zr
1 2 1
Cartesian
2.792 2.056 4.962 K
0.000 0.531 6.206 Mg
2.792 0.431 1.880 Mg
0.000 1.994 2.634 Zr
```

Computed properties:
The symmetry is Pm (6). The energy relative to the lowest polymorph listed for this composition is 172 meV per atom.

[27]
## K2MgZr (PBE-GGA)

Data for a geometry-optimized K2MgZr structure.

```
K2MgZr
1.0
-0.256 -7.724 0.678
3.562 -4.524 5.200
-4.909 5.538 -2.328
K Mg Zr
2 1 1
Cartesian
3.193 -11.828 5.675 K
1.767 -6.544 3.140 K
-1.756 -4.155 0.644 Mg
0.153 -2.555 2.905 Zr
```

Computed properties:
The symmetry is Immm (71).

[28]
## KMgZr (PBE-GGA)

Data for a geometry-optimized KMgZr structure.

```
KMgZr
1.0
-0.031 -0.860 3.117
1.699 -1.732 -2.138
7.598 5.490 1.591
K Mg Zr
1 1 1
Cartesian
0.018 0.013 0.004 K
3.291 0.833 1.940 Mg
5.957 2.052 0.626 Zr
```

Computed properties:
The symmetry is P3m1 (156). The energy relative to the lowest polymorph listed for this composition is 0 meV per atom.

[29]
## K2MgZr (PBE-GGA)

Data for a geometry-optimized K2MgZr structure.

```
K2MgZr
1.0
6.400 0.000 0.000
0.000 4.710 0.000
0.000 0.000 4.710
K Mg Zr
2 1 1
Cartesian
0.000 0.000 0.000 K
0.000 2.355 2.355 K
3.200 2.355 0.000 Mg
3.200 0.000 2.355 Zr
```

Computed properties:
The symmetry is P4/mmm (123).

[30]
## KMg2Zr (PBE-GGA)

Data for a geometry-optimized KMg2Zr structure.

```
KMg2Zr
1.0
-3.136 3.134 3.041
-1.115 -1.418 5.065
2.123 2.763 4.094
K Mg Zr
1 2 1
Cartesian
-1.064 2.240 6.100 K
0.000 0.000 0.000 Mg
-0.532 1.120 3.050 Mg
-1.596 3.360 9.150 Zr
```

Computed properties:
The symmetry is F-43m (216). The energy relative to the lowest polymorph listed for this composition is 508 meV per atom.

Theoretical density values, unit g/cm3, following the record order: 3.00 2.26 2.30 2.32 2.41 2.38 2.65 2.61 2.60 2.55 2.63 2.42 2.39 2.03 2.28 2.31 2.94 2.27 1.70 2.73 2.31 2.06 2.09 2.37 2.14 2.72 2.36 2.98 2.27 2.70.
E_form values, unit eV/atom, following the record order: 0.2517 0.2401 0.2330 0.1373 0.6439 0.7366 0.4454 0.6834 0.3555 0.2190 0.5968 0.4201 0.6260 0.0830 0.1752 0.7571 0.4889 0.8041 0.7611 0.3558 0.7023 0.6305 0.7026 1.3175 0.4590 0.3913 0.7094 0.4625 0.8009 0.7268.